No. 1
! LaSn2Mo2 | Alexandria | PBE | relaxed; values from VASP
! - ΔE to the lowest computed polymorph (meV per atom) = 0
! - crystal system = tetragonal
! - ΔH_f (0 K) (eV per atom) = -0.03
! - space-group type = I4/mmm
! - DOS(E_F) (states/eV/f.u.) = 3.64
&SYSTEM
  ibrav = 0, nat = 5, ntyp = 3
/
ATOMIC_SPECIES
La 138.91 La.upf
Sn 118.71 Sn.upf
Mo 95.94 Mo.upf
CELL_PARAMETERS angstrom
-2.5314 2.5314 4.7711
2.5314 -2.5314 4.7711
2.5314 2.5314 -4.7711
ATOMIC_POSITIONS crystal
La 0.0000 0.0000 0.0000
Sn 0.2500 0.7500 0.5000
Sn 0.7500 0.2500 0.5000
Mo 0.3858 0.3858 0.0000
Mo 0.6142 0.6142 0.0000

=====

No. 2
! LaSn2Mo | Alexandria | PBE | relaxed; values from VASP
! - ΔE to the lowest computed polymorph (meV per atom) = 0
! - crystal system = cubic
! - ΔH_f (0 K) (eV per atom) = 0.01
! - space-group type = Fm-3m
! - DOS(E_F) (states/eV/f.u.) = 4.79
&SYSTEM
  ibrav = 0, nat = 4, ntyp = 3
/
ATOMIC_SPECIES
La 138.91 La.upf
Sn 118.71 Sn.upf
Mo 95.94 Mo.upf
CELL_PARAMETERS angstrom
0.0000 3.6108 3.6108
3.6108 0.0000 3.6108
3.6108 3.6108 0.0000
ATOMIC_POSITIONS crystal
La 0.0000 0.0000 0.0000
Sn 0.2500 0.2500 0.2500
Sn 0.7500 0.7500 0.7500
Mo 0.5000 0.5000 0.5000

=====

No. 3
! LaSn2Mo | Alexandria | PBE | relaxed; values from VASP
! - ΔE to the lowest computed polymorph (meV per atom) = 321
! - crystal system = tetragonal
! - ΔH_f (0 K) (eV per atom) = 0.33
! - space-group type = I-42d
! - DOS(E_F) (states/eV/f.u.) = 3.90
&SYSTEM
  ibrav = 0, nat = 8, ntyp = 3
/
ATOMIC_SPECIES
La 138.91 La.upf
Sn 118.71 Sn.upf
Mo 95.94 Mo.upf
CELL_PARAMETERS angstrom
-2.5039 2.5039 9.5374
2.5039 -2.5039 9.5374
2.5039 2.5039 -9.5374
ATOMIC_POSITIONS crystal
La 0.0000 0.0000 0.0000
La 0.7500 0.2500 0.5000
Sn 0.2379 0.6250 0.1129
Sn 0.3750 0.4879 0.6129
Sn 0.5121 0.1250 0.8871
Sn 0.8750 0.7621 0.3871
Mo 0.2500 0.7500 0.5000
Mo 0.5000 0.5000 0.0000